# 1
The following is a DFT calculation (PBE-GGA) of crystalline AlZn2Tc at its relaxed geometry.

Results
DOS at the Fermi energy	0.108	states/eV/atom
total magnetic moment	0.0	μB/cell
SG	No. 119
energy of formation from the pure elements	-0.17	eV per atom

Geometry as POSCAR:
```
AlZn2Tc
1.0
-0.152 -3.268 -3.696
3.132 -3.801 0.330
-3.295 2.158 2.974
Zn Al Tc
2 1 1
Direct
0.750 0.250 0.500
0.000 0.000 0.000
0.500 0.500 0.000
0.250 0.750 0.500
```



# 2
The following is a DFT calculation (PBE-GGA) of crystalline MgAl2Tl at its relaxed geometry.

Results
DOS at the Fermi energy	0.346	states/eV/atom
total magnetic moment	0.0	μB/cell
SG	No. 47
energy of formation from the pure elements	0.15	eV per atom

Geometry as POSCAR:
```
MgAl2Tl
1.0
-1.963 -1.807 -3.238
-0.672 -3.604 2.418
-3.994 1.724 1.459
Al Mg Tl
2 1 1
Direct
0.500 0.500 0.000
0.000 0.000 0.000
0.500 0.000 0.500
0.000 0.500 0.500
```